GGA-PBE Li4NbSi2, optimized geometry; electronic total energy = -3.3872 eV per atom; theoretical density = 2.5 Mg/m³; size of the total moment = 0.48 μB per atom
1.0
4.758 0.000 0.000
0.000 10.984 0.000
0.000 0.000 4.556
Li Nb Si
8 2 4
Direct
0.000 0.000 0.000
0.000 0.236 0.000
0.000 0.500 0.500
0.000 0.764 0.000
0.500 0.000 0.500
0.500 0.264 0.000
0.500 0.500 0.000
0.500 0.736 0.000
0.000 0.500 0.000
0.500 0.000 0.000
0.000 0.110 0.500
0.000 0.890 0.500
0.500 0.390 0.500
0.500 0.610 0.500

GGA-PBE AcErO3, optimized geometry; electronic total energy = -8.1956 eV per atom; theoretical density = 9.4 Mg/m³; size of the total moment = 0.00 μB per atom
1.0
6.123 0.000 0.000
0.000 8.521 0.000
0.000 0.000 5.960
Ac Er O
4 4 12
Direct
0.047 0.250 0.012
0.453 0.750 0.512
0.547 0.250 0.488
0.953 0.750 0.988
0.000 0.000 0.500
0.000 0.500 0.500
0.500 0.000 0.000
0.500 0.500 0.000
0.047 0.750 0.390
0.198 0.558 0.803
0.198 0.942 0.803
0.302 0.058 0.303
0.302 0.442 0.303
0.453 0.250 0.890
0.547 0.750 0.110
0.698 0.558 0.697
0.698 0.942 0.697
0.802 0.058 0.197
0.802 0.442 0.197
0.953 0.250 0.610

GGA-PBE TlCuReSe2S, optimized geometry; electronic total energy = -5.0183 eV per atom; theoretical density = 8.4 Mg/m³; size of the total moment = 0.23 μB per atom
1.0
1.828 -7.380 0.000
1.828 7.380 0.000
0.000 0.000 9.392
Tl Cu Re Se S
2 2 2 4 2
Direct
0.243 0.757 0.750
0.757 0.243 0.250
0.030 0.970 0.250
0.970 0.030 0.750
0.500 0.500 0.000
0.500 0.500 0.500
0.121 0.879 0.040
0.121 0.879 0.460
0.879 0.121 0.540
0.879 0.121 0.960
0.438 0.562 0.250
0.562 0.438 0.750

GGA-PBE Mg2NiGe, optimized geometry; electronic total energy = -3.3945 eV per atom; theoretical density = 4.8 Mg/m³; size of the total moment = 0.00 μB per atom
1.0
6.310 0.000 0.000
0.000 6.310 0.000
0.000 0.000 6.310
Mg Ni Ge
8 4 4
Direct
0.000 0.000 0.000
0.000 0.500 0.500
0.250 0.250 0.250
0.250 0.750 0.750
0.500 0.000 0.500
0.500 0.500 0.000
0.750 0.250 0.750
0.750 0.750 0.250
0.250 0.250 0.750
0.250 0.750 0.250
0.750 0.250 0.250
0.750 0.750 0.750
0.000 0.000 0.500
0.000 0.500 0.000
0.500 0.000 0.000
0.500 0.500 0.500

GGA-PBE Nd3CdIn2AgPt2, optimized geometry; electronic total energy = -4.7172 eV per atom; theoretical density = 9.8 Mg/m³; size of the total moment = 0.00 μB per atom
1.0
4.047 0.000 0.000
0.000 6.774 3.923
0.000 -6.774 3.923
Nd Cd In Ag Pt
3 1 2 1 2
Direct
0.000 0.000 0.000
0.000 0.168 0.582
0.000 0.582 0.168
0.500 0.324 0.324
0.500 0.583 0.839
0.500 0.839 0.583
0.000 0.583 0.583
0.500 0.249 0.912
0.500 0.912 0.249

GGA-PBE In2Cu2Ir, optimized geometry; electronic total energy = -4.0072 eV per atom; theoretical density = 11.3 Mg/m³; size of the total moment = 0.00 μB per atom; offset from the most stable computed form = 0.0 meV per atom
1.0
3.591 0.000 0.000
0.000 3.591 0.000
0.000 0.000 12.495
In Cu Ir
4 4 2
Direct
0.000 0.000 0.105
0.000 0.000 0.895
0.500 0.500 0.395
0.500 0.500 0.605
0.000 0.500 0.250
0.000 0.500 0.750
0.500 0.000 0.250
0.500 0.000 0.750
0.000 0.000 0.500
0.500 0.500 0.000

GGA-PBE LuNbNi2, optimized geometry; electronic total energy = -6.3968 eV per atom; DFT formation energy = 0.04 eV per atom; theoretical density = 10.5 Mg/m³; size of the total moment = 0.00 μB per atom
1.0
6.247 0.000 0.000
0.000 6.247 0.000
0.000 0.000 6.247
Lu Nb Ni
4 4 8
Direct
0.000 0.000 0.000
0.000 0.500 0.500
0.500 0.000 0.500
0.500 0.500 0.000
0.250 0.250 0.750
0.250 0.750 0.250
0.750 0.250 0.250
0.750 0.750 0.750
0.000 0.000 0.500
0.000 0.500 0.000
0.250 0.250 0.250
0.250 0.750 0.750
0.500 0.000 0.000
0.500 0.500 0.500
0.750 0.250 0.750
0.750 0.750 0.250

GGA-PBE Cs2PdSeS, optimized geometry; electronic total energy = -3.7756 eV per atom; theoretical density = 5.1 Mg/m³
1.0
3.836 0.000 0.000
0.000 10.671 0.000
0.000 0.000 7.756
Cs Pd Se S
4 2 2 2
Direct
0.000 0.191 0.000
0.000 0.809 0.000
0.500 0.309 0.500
0.500 0.691 0.500
0.000 0.000 0.480
0.500 0.500 0.980
0.000 0.500 0.190
0.500 0.000 0.690
0.000 0.500 0.786
0.500 0.000 0.286

GGA-PBE Er5TlHg4, optimized geometry; electronic total energy = -3.0867 eV per atom; theoretical density = 12.1 Mg/m³; size of the total moment = 0.00 μB per atom
1.0
3.695 0.000 0.000
0.000 3.695 0.000
0.000 0.000 18.529
Er Tl Hg
5 1 4
Direct
0.000 0.000 0.000
0.000 0.000 0.197
0.000 0.000 0.394
0.000 0.000 0.606
0.000 0.000 0.803
0.500 0.500 0.500
0.500 0.500 0.099
0.500 0.500 0.296
0.500 0.500 0.704
0.500 0.500 0.901

GGA-PBE CsNbO3, optimized geometry; electronic total energy = -7.3347 eV per atom; theoretical density = 6.4 Mg/m³; size of the total moment = 0.00 μB per atom
1.0
4.141 0.000 0.000
0.000 4.141 0.000
0.000 0.000 4.141
Cs Nb O
1 1 3
Direct
0.000 0.000 0.000
0.500 0.500 0.500
0.000 0.500 0.500
0.500 0.000 0.500
0.500 0.500 0.000

GGA-PBE KBeFeTc, optimized geometry; electronic total energy = -4.4731 eV per atom; theoretical density = 5.1 Mg/m³; size of the total moment = 1.02 μB per atom; offset from the most stable computed form = 0.0 meV per atom
1.0
6.400 0.000 0.000
0.000 6.400 0.000
0.000 0.000 6.400
K Be Fe Tc
4 4 4 4
Direct
0.000 0.000 0.000
0.000 0.500 0.500
0.500 0.000 0.500
0.500 0.500 0.000
0.250 0.250 0.250
0.250 0.750 0.750
0.750 0.250 0.750
0.750 0.750 0.250
0.250 0.250 0.750
0.250 0.750 0.250
0.750 0.250 0.250
0.750 0.750 0.750
0.000 0.000 0.500
0.000 0.500 0.000
0.500 0.000 0.000
0.500 0.500 0.500

GGA-PBE PmLuNO, optimized geometry; electronic total energy = -7.7305 eV per atom; theoretical density = 9.0 Mg/m³; size of the total moment = 0.00 μB per atom; offset from the most stable computed form = 106.3 meV per atom
1.0
4.652 0.000 0.000
0.000 4.652 0.000
0.000 0.000 5.945
Pm Lu N O
2 2 2 2
Direct
0.250 0.750 0.000
0.750 0.250 0.000
0.250 0.250 0.464
0.750 0.750 0.536
0.250 0.250 0.114
0.750 0.750 0.886
0.250 0.750 0.500
0.750 0.250 0.500